DFT (GGA-PBE) results for AlTcBr after structural relaxation.

## Properties
magnetic moment: 0.391 μB per atom
N(E_F): 2.7 states/eV/f.u.
ΔE to the lowest computed polymorph: 0.8235 eV per atom

Cell: 6.2491 6.2491 6.2491 Å, 90.00 90.00 90.00°
Last column: nearest neighbours and their distance in Å.
Space group F-43m (No. 216)
Unique sites:
Al1 0.0000 0.0000 0.0000 (multiplicity 4)  4 Tc 2.71, 4 Br 2.71
Tc1 0.2500 0.2500 0.7500 (multiplicity 4)  4 Al 2.71
Br1 0.2500 0.2500 0.2500 (multiplicity 4)  4 Al 2.71

DFT (GGA-PBE) results for NaH2F after structural relaxation.

## Properties
magnetic moment: 0.014 μB per atom
N(E_F): 0.0 states/eV/f.u.
ΔE to the lowest computed polymorph: 0.0000 eV per atom

Cell: 4.4741 4.4893 5.5320 Å, 90.00 90.00 90.00°
Last column: nearest neighbours and their distance in Å.
Space group Cmmm (No. 65)
Unique sites:
Na1 0.0000 0.0000 0.0000 (multiplicity 2)  4 F 2.24
H1 0.0840 0.0000 0.5000 (multiplicity 4)  1 H 0.75
F1 0.0000 0.5000 0.0000 (multiplicity 2)  4 Na 2.24

DFT (GGA-PBE) results for LiCaTm2S4 after structural relaxation.

## Properties
magnetic moment: 0.000 μB per atom
N(E_F): 2.3 states/eV/f.u.
calculated total energy: -45.0 eV per cell

Cell: 6.6804 3.8756 6.7870 Å, 90.00 109.24 90.00°
Last column: nearest neighbours and their distance in Å.
Space group P2/m (No. 10)
Unique sites:
Li1 0.0000 0.0000 0.0000 (multiplicity 1)  6 S 2.75-2.76
Ca1 0.5000 0.5000 0.0000 (multiplicity 1)  6 S 2.79
Tm1 0.0000 0.5000 0.5000 (multiplicity 1)  6 S 2.70-2.71
Tm2 0.5000 0.0000 0.5000 (multiplicity 1)  6 S 2.74-2.75
S1 0.2427 0.0000 0.7428 (multiplicity 2)  3 Tm 2.71-2.75, 1 Li 2.75, 2 Ca 2.79
S2 0.2484 0.5000 0.2564 (multiplicity 2)  3 Tm 2.70-2.74, 2 Li 2.76, 1 Ca 2.79

DFT (GGA-PBE) results for YHg4W after structural relaxation.

## Properties
magnetic moment: 0.321 μB per atom
N(E_F): 5.7 states/eV/f.u.
energy of formation: 309 kJ/mol of formula units

Cell: 8.1066 8.1066 8.1066 Å, 90.00 90.00 90.00°
Last column: nearest neighbours and their distance in Å.
Space group F-43m (No. 216)
Unique sites:
Y1 0.0000 0.0000 0.0000 (multiplicity 4)  12 Hg 3.36, 4 W 3.51
Hg1 0.1245 0.1245 0.6245 (multiplicity 16)  6 Hg 2.85-2.88
W1 0.2500 0.2500 0.2500 (multiplicity 4)  12 Hg 3.36, 4 Y 3.51

DFT (GGA-PBE) results for La3Mg5 after structural relaxation.

## Properties
magnetic moment: 0.000 μB per atom
N(E_F): 6.6 states/eV/f.u.
energy of formation: -41 kJ/mol of formula units
ΔE to the lowest computed polymorph: 0.0224 eV per atom

Cell: 7.8087 7.8087 7.8087 Å, 90.00 90.00 90.00°
Last column: nearest neighbours and their distance in Å.
Space group Im-3m (No. 229)
Unique sites:
La1 0.0000 0.0000 0.5000 (multiplicity 6)  8 Mg 3.38
Mg1 0.0000 0.0000 0.0000 (multiplicity 2)  8 Mg 3.38
Mg2 0.2500 0.2500 0.2500 (multiplicity 8)  6 La 3.38, 2 Mg 3.38

DFT (GGA-PBE) results for Be2AgRhW after structural relaxation.

## Properties
magnetic moment: 0.000 μB per atom
N(E_F): 3.2 states/eV/f.u.
energy of formation: 714 kJ/mol of formula units

Cell: 4.0763 4.0763 4.9818 Å, 90.00 90.00 90.00°
Last column: nearest neighbours and their distance in Å.
Space group P4/mmm (No. 123)
Unique sites:
Be1 0.0000 0.5000 0.0000 (multiplicity 2)  2 Ag 2.04
Ag1 0.0000 0.0000 0.0000 (multiplicity 1)  4 Be 2.04
Rh1 0.5000 0.5000 0.5000 (multiplicity 1)  4 W 2.88, 8 Be 3.22
W1 0.0000 0.0000 0.5000 (multiplicity 1)  2 Ag 2.49

DFT (GGA-PBE) results for ErMg2Pb3 after structural relaxation.

## Properties
magnetic moment: 0.000 μB per atom
N(E_F): 1.9 states/eV/f.u.
energy of formation: -99 kJ/mol of formula units
ΔE to the lowest computed polymorph: 0.0000 eV per atom

Cell: 4.7358 9.8253 6.9497 Å, 90.00 90.00 90.00°
Last column: nearest neighbours and their distance in Å.
Space group Pmc2_1 (No. 26)
Unique sites:
Er1 0.0000 0.0547 0.0000 (multiplicity 2)  7 Pb 3.21-3.58, 1 Mg 3.45
Mg1 0.0000 0.2964 0.5012 (multiplicity 2)  5 Pb 3.01-3.13
Mg2 0.5000 0.5000 0.2478 (multiplicity 2)  6 Pb 3.10-3.29, 2 Mg 3.47
Pb1 0.0000 0.3972 0.9971 (multiplicity 2)  5 Mg 3.01-3.11, 1 Er 3.37
Pb2 0.5000 0.1652 0.7305 (multiplicity 2)  3 Mg 3.13-3.29, 2 Pb 3.21-3.28, 2 Er 3.21
Pb3 0.5000 0.1678 0.2688 (multiplicity 2)  3 Mg 3.13-3.27, 2 Pb 3.21-3.28, 2 Er 3.21

DFT (GGA-PBE) results for MgV2Cd after structural relaxation.

## Properties
magnetic moment: 0.000 μB per atom
N(E_F): 4.2 states/eV/f.u.
energy of formation: 333 kJ/mol of formula units

Cell: 7.4748 7.4748 5.1410 Å, 90.00 90.00 90.00°
Last column: nearest neighbours and their distance in Å.
Space group I-42d (No. 122)
Unique sites:
Mg1 0.0000 0.0000 0.0000 (multiplicity 4)  2 Cd 2.57, 4 V 2.74
V1 0.2463 0.7500 0.6250 (multiplicity 8)  2 V 2.57, 2 Cd 2.70, 2 Mg 2.74
Cd1 0.0000 0.0000 0.5000 (multiplicity 4)  2 Mg 2.57, 4 V 2.70

Look up the magnetic moment of the seventh one. 0.000 μB per atom

Number 4 is which compound? YHg4W

Which value of N(E_F) does entry 1 give? 2.7 states/eV/f.u.

magnetic moment of number 2 (NaH2F)? 0.014 μB per atom